1.
This record from Alexandria describes crystalline PmY14In at its relaxed geometry. The functional is PBE-GGA.

POSCAR file:
```
PmY14In
1.0
6.9569 0.0083 0.0000
-1.8258 6.7131 0.0000
0.0000 0.0000 10.9315
Y In Pm
14 1 1
Direct
0.8152 0.1848 0.5000
0.1544 0.8456 0.7790
0.8946 0.7044 0.5000
0.6657 0.9192 0.7571
0.2956 0.1054 0.5000
0.3656 0.6344 0.5000
0.6657 0.9192 0.2429
0.0808 0.3343 0.7571
0.1544 0.8456 0.2210
0.8631 0.5491 0.0000
0.5933 0.4067 0.2750
0.0808 0.3343 0.2429
0.4509 0.1369 0.0000
0.5933 0.4067 0.7250
0.9378 0.0622 0.0000
0.3886 0.6114 0.0000
```

## Properties
spin magnetization: 0.0 μB per cell
SG: Amm2, No. 38
total energy: -6.150 eV per atom



2.
This record from Alexandria describes crystalline PmY4In4 at its relaxed geometry. The functional is PBE-GGA.

POSCAR file:
```
PmY4In4
1.0
-4.2380 3.3192 -2.6088
1.3909 -4.5067 -7.9933
-6.4007 -6.2696 2.4211
In Y Pm
8 8 2
Direct
0.6016 0.8966 0.2085
0.3984 0.2085 0.1034
0.1016 0.2915 0.3966
0.3984 0.7915 0.8966
0.8984 0.6034 0.2915
0.1016 0.7085 0.6034
0.8984 0.3966 0.7085
0.6016 0.1034 0.7915
0.1148 0.9267 0.3381
0.8852 0.6619 0.9267
0.8852 0.3381 0.0733
0.6148 0.1619 0.4267
0.3852 0.5733 0.1619
0.6148 0.8381 0.5733
0.3852 0.4267 0.8381
0.1148 0.0733 0.6619
0.5000 0.5000 0.5000
0.0000 0.0000 0.0000
```

## Properties
spin magnetization: 0.0 μB per cell
SG: P4_2/n, No. 86
total energy: -4.899 eV per atom



3.
This record from Alexandria describes crystalline PmYIn6 at its relaxed geometry. The functional is PBE-GGA.

POSCAR file:
```
PmYIn6
1.0
-0.8469 4.2642 1.7051
-4.4861 -0.3971 -1.2350
-1.9660 -3.7250 8.3394
In Pm Y
6 1 1
Direct
0.5000 0.5000 0.0000
0.0000 0.5000 0.7470
0.0000 0.5000 0.2530
0.5000 0.0000 0.2530
0.5000 0.0000 0.7470
0.5000 0.5000 0.5000
0.0000 0.0000 0.0000
0.0000 0.0000 0.5000
```

## Properties
spin magnetization: 0.0 μB per cell
SG: P4/mmm, No. 123
total energy: -3.903 eV per atom



What did we get for DFT formation energy? Answer: -26 -281 -447 meV per atom, in the order shown.